(1)
DFT (PBE) results for an optimized crystal structure of CuSiPdRh.

Results
For the formation energy (no corrections), the calculation gives -1.8 eV per formula unit. The calculation puts the magnetization at 0.00 μB/cell. The space group is F-43m. The density of states at the Fermi level comes out at 0.67 states/eV per atom.

a b c (Å): 4.2171 4.2171 4.2171
angles (deg): 60.00 60.00 60.00
Last column: nearest neighbours and their distance in Å.
Positions (direct):
Pd 0.0000 0.0000 0.0000  4 Cu 2.58, 4 Si 2.58
Rh 0.5000 0.5000 0.5000  4 Si 2.58, 4 Cu 2.58
Si 0.7500 0.7500 0.7500  4 Pd 2.58, 4 Rh 2.58
Cu 0.2500 0.2500 0.2500  4 Rh 2.58, 4 Pd 2.58



(2)
DFT (PBE) results for an optimized crystal structure of Tb2PmIO8.

Results
For the formation energy (no corrections), the calculation gives -27.7 eV per formula unit. The calculation puts the magnetization at 0.00 μB/cell. The space group is Cmmm. The density of states at the Fermi level comes out at 0.00 states/eV per atom.

a b c (Å): 5.0696 5.0714 6.9479
angles (deg): 90.00 90.00 90.09
Last column: nearest neighbours and their distance in Å.
Positions (direct):
O 0.2653 0.2656 0.0000  1 I 1.90
O 0.3138 0.3148 0.5000  2 Tb 2.19, 1 Pm 2.25
O 0.6862 0.6852 0.5000  2 Tb 2.19, 1 Pm 2.25
O 0.8183 0.1812 0.7974  1 I 1.92
O 0.8183 0.1811 0.2026  1 I 1.92
O 0.1817 0.8189 0.7974  1 I 1.92
O 0.7347 0.7344 0.0000  1 I 1.90
O 0.1817 0.8188 0.2026  1 I 1.92
Tb 0.5000 0.5000 0.7496  6 O 2.19-2.42
Tb 0.5000 0.5000 0.2504  6 O 2.19-2.42
I 0.0000 0.0000 0.0000  6 O 1.90-1.92
Pm 0.0000 0.0000 0.5000  6 O 2.25-2.44



(3)
DFT (PBE) results for an optimized crystal structure of BiRhSeBr2.

Results
The energy relative to the lowest polymorph listed for this composition is 0.00 kJ per mole of atoms. For the formation energy (no corrections), the calculation gives 0.3 eV per formula unit. The calculation puts the magnetization at 0.00 μB/cell. The space group is P4/mmm. The density of states at the Fermi level comes out at 0.73 states/eV per atom.

a b c (Å): 4.9879 4.9879 5.0519
angles (deg): 90.00 90.00 90.00
Last column: nearest neighbours and their distance in Å.
Positions (direct):
Br 0.0000 0.5000 0.0000  2 Rh 2.49
Br 0.5000 0.0000 0.0000  2 Rh 2.49
Bi 0.5000 0.5000 0.5000  4 Se 3.53, 8 Br 3.55
Rh 0.0000 0.0000 0.0000  4 Br 2.49, 2 Se 2.53
Se 0.0000 0.0000 0.5000  2 Rh 2.53



(4)
DFT (PBE) results for an optimized crystal structure of ScSbS3.

Results
The energy relative to the lowest polymorph listed for this composition is 0.00 kJ per mole of atoms. For the formation energy (no corrections), the calculation gives -5.3 eV per formula unit. The calculation puts the magnetization at 0.00 μB/cell. The space group is P2_1/m.

a b c (Å): 3.7788 6.8299 9.8556
angles (deg): 89.58 90.00 90.00
Last column: nearest neighbours and their distance in Å.
Positions (direct):
Sb 0.7500 0.4193 0.1855  3 S 2.53-2.59
Sb 0.2500 0.5807 0.8145  3 S 2.53-2.59
S 0.2500 0.5990 0.3137  2 Sb 2.59, 1 Sc 2.69
S 0.2500 0.9101 0.6943  1 Sb 2.53, 2 Sc 2.59
S 0.7500 0.0899 0.3057  1 Sb 2.53, 2 Sc 2.59
S 0.7500 0.7838 0.0102  3 Sc 2.59-2.63
S 0.2500 0.2162 0.9898  3 Sc 2.59-2.63
S 0.7500 0.4010 0.6863  2 Sb 2.59, 1 Sc 2.69
Sc 0.7500 0.0687 0.8348  6 S 2.59-2.69
Sc 0.2500 0.9313 0.1652  6 S 2.59-2.69



(5)
DFT (PBE) results for an optimized crystal structure of AlFeH.

Results
The energy relative to the lowest polymorph listed for this composition is 8.76 kJ per mole of atoms. The calculation puts the magnetization at 4.76 μB/cell. The space group is I4_1/a. The density of states at the Fermi level comes out at 0.53 states/eV per atom.

a b c (Å): 6.7061 9.1003 9.1003
angles (deg): 82.20 68.38 68.38
Last column: nearest neighbours and their distance in Å.
Positions (direct):
H 0.2185 0.9946 0.8614  1 Fe 1.64
H 0.5917 0.0422 0.8101  1 Fe 1.58
H 0.5315 0.5054 0.6387  1 Fe 1.64
H 0.6755 0.4946 0.3613  1 Fe 1.64
H 0.9632 0.3613 0.5054  1 Fe 1.64
H 0.8299 0.6387 0.4946  1 Fe 1.64
H 0.4440 0.9578 0.1899  1 Fe 1.58
H 0.1583 0.4578 0.6899  1 Fe 1.58
H 0.3839 0.3101 0.4578  1 Fe 1.58
H 0.9201 0.8614 0.0054  1 Fe 1.64
H 0.3060 0.5422 0.3101  1 Fe 1.58
H 0.5982 0.8101 0.9578  1 Fe 1.58
H 0.3661 0.1899 0.0422  1 Fe 1.58
H 0.0745 0.0054 0.1386  1 Fe 1.64
H 0.1518 0.6899 0.5422  1 Fe 1.58
H 0.7868 0.1386 0.9946  1 Fe 1.64
Fe 0.3959 0.5631 0.1250  1 H 1.58
Fe 0.2709 0.3750 0.0631  1 H 1.58
Fe 0.7090 0.6250 0.9369  1 H 1.58
Fe 0.7441 0.8258 0.4443  1 H 1.64
Fe 0.3541 0.9369 0.3750  1 H 1.58
Fe 0.7359 0.3258 0.9443  1 H 1.64
Fe 0.4791 0.1250 0.4369  1 H 1.58
Fe 0.6660 0.0631 0.6250  1 H 1.58
Fe 0.8117 0.4443 0.1742  1 H 1.64
Fe 0.0059 0.6742 0.0557  1 H 1.64
Fe 0.0840 0.4369 0.8750  1 H 1.58
Fe 0.0141 0.1742 0.5557  1 H 1.64
Fe 0.9384 0.0557 0.3258  1 H 1.64
Fe 0.3199 0.9443 0.6742  1 H 1.64
Fe 0.4301 0.5557 0.8258  1 H 1.64
Fe 0.0410 0.8750 0.5631  1 H 1.58
Al 0.3004 0.7978 0.9571  2 H 1.86-2.04
Al 0.2036 0.2006 0.2807  2 H 2.04-2.25
Al 0.5958 0.7193 0.2006  2 H 2.04-2.25
Al 0.6849 0.7994 0.7193  2 H 2.04-2.25
Al 0.0554 0.2022 0.0429  2 H 1.86-2.04
Al 0.6946 0.2979 0.4571  2 H 1.86-2.04
Al 0.9017 0.0429 0.7978  2 H 1.86-2.04
Al 0.5464 0.2994 0.2193  2 H 2.04-2.25
Al 0.5157 0.2807 0.7994  2 H 2.04-2.25
Al 0.7425 0.9571 0.2022  2 H 1.86-2.04
Al 0.4496 0.7021 0.5429  2 H 1.86-2.04
Al 0.2342 0.2193 0.7006  2 H 2.04-2.25
Al 0.8483 0.4571 0.7021  2 H 1.86-2.04
Al 0.0651 0.7006 0.7807  2 H 2.04-2.25
Al 0.0075 0.5429 0.2979  2 H 1.86-2.04
Al 0.1542 0.7807 0.2994  2 H 2.04-2.25



(6)
DFT (PBE) results for an optimized crystal structure of Pa2TlCl8.

Results
The energy relative to the lowest polymorph listed for this composition is 0.00 kJ per mole of atoms. For the formation energy (no corrections), the calculation gives -18.3 eV per formula unit. The calculation puts the magnetization at 3.00 μB/cell. The space group is C2/m. The density of states at the Fermi level comes out at 1.38 states/eV per atom.

a b c (Å): 5.5176 7.7233 7.7233
angles (deg): 111.83 95.64 95.64
Last column: nearest neighbours and their distance in Å.
Positions (direct):
Cl 0.7214 0.3970 0.3970  2 Pa 2.83
Cl 0.0783 0.0539 0.3281  2 Pa 2.84-2.85
Cl 0.0783 0.3281 0.0539  2 Pa 2.84-2.85
Cl 0.5000 0.2605 0.7395  2 Pa 2.86
Cl 0.5000 0.7395 0.2605  2 Pa 2.86
Cl 0.9217 0.9461 0.6719  2 Pa 2.84-2.85
Cl 0.9217 0.6719 0.9461  2 Pa 2.84-2.85
Cl 0.2786 0.6030 0.6030  2 Pa 2.83
Pa 0.0000 0.6803 0.3197  8 Cl 2.83-2.86
Pa 0.0000 0.3197 0.6803  8 Cl 2.83-2.86
Tl 0.5000 0.0000 0.0000  8 Cl 3.33-3.55



(7)
DFT (PBE) results for an optimized crystal structure of CdTeN2F.

Results
The energy relative to the lowest polymorph listed for this composition is 89.17 kJ per mole of atoms. For the formation energy (no corrections), the calculation gives 7.6 eV per formula unit. The calculation puts the magnetization at 4.04 μB/cell. The space group is P4/mmm. The density of states at the Fermi level comes out at 0.50 states/eV per atom.

a b c (Å): 4.1985 4.1985 6.4410
angles (deg): 90.00 90.00 90.00
Last column: nearest neighbours and their distance in Å.
Positions (direct):
F 0.5000 0.5000 0.5000  4 Te 2.97
N 0.0000 0.5000 0.0000  2 Cd 2.10
N 0.5000 0.0000 0.0000  2 Cd 2.10
Cd 0.0000 0.0000 0.0000  4 N 2.10
Te 0.0000 0.0000 0.5000  4 F 2.97, 2 Cd 3.22



(8)
DFT (PBE) results for an optimized crystal structure of KPt.

Results
The calculation puts the magnetization at 6.07 μB/cell. The space group is Pm-3n. As for the energy: -2.42 eV/atom. The density of states at the Fermi level comes out at 3.45 states/eV per atom.

a b c (Å): 9.2471 9.2471 9.2471
angles (deg): 90.00 90.00 90.00
Last column: nearest neighbours and their distance in Å.
Positions (direct):
K 0.5000 0.7500 0.0000  4 Pt 3.27
K 0.0000 0.5000 0.2500  4 Pt 3.27
K 0.0000 0.5000 0.7500  4 Pt 3.27
K 0.7500 0.0000 0.5000  4 Pt 3.27
K 0.5000 0.2500 0.0000  4 Pt 3.27
K 0.2500 0.0000 0.5000  4 Pt 3.27
Pt 0.0000 0.2500 0.5000  4 K 3.27
Pt 0.0000 0.7500 0.5000  4 K 3.27
Pt 0.2500 0.5000 0.0000  4 K 3.27
Pt 0.7500 0.5000 0.0000  4 K 3.27
Pt 0.5000 0.0000 0.7500  4 K 3.27
Pt 0.5000 0.0000 0.2500  4 K 3.27



(9)
DFT (PBE) results for an optimized crystal structure of KSb4Au5.

Results
For the formation energy (no corrections), the calculation gives -1.3 eV per formula unit. The calculation puts the magnetization at 0.00 μB/cell. The space group is Pmmn. The density of states at the Fermi level comes out at 0.45 states/eV per atom.

a b c (Å): 7.3235 11.5156 6.8751
angles (deg): 90.00 90.00 90.00
Last column: nearest neighbours and their distance in Å.
Positions (direct):
Au 0.1431 0.1733 0.7149  2 Sb 2.69-2.72, 3 Au 2.78-2.96
Au 0.1431 0.8267 0.7149  2 Sb 2.69-2.72, 3 Au 2.78-2.96
Au 0.9571 0.0000 0.5000  2 Sb 2.70, 4 Au 2.83
Au 0.1431 0.1733 0.2851  2 Sb 2.69-2.72, 3 Au 2.78-2.96
Au 0.0429 0.5000 0.0000  2 Sb 2.70, 4 Au 2.83
Au 0.8569 0.6733 0.7851  2 Sb 2.69-2.72, 3 Au 2.78-2.96
Au 0.8569 0.6733 0.2149  2 Sb 2.69-2.72, 3 Au 2.78-2.96
Au 0.8569 0.3267 0.7851  2 Sb 2.69-2.72, 3 Au 2.78-2.96
Au 0.1431 0.8267 0.2851  2 Sb 2.69-2.72, 3 Au 2.78-2.96
Au 0.8569 0.3267 0.2149  2 Sb 2.69-2.72, 3 Au 2.78-2.96
Sb 0.6044 0.5000 0.2069  2 Au 2.72, 1 Sb 2.85
Sb 0.3956 0.0000 0.2931  2 Au 2.72, 1 Sb 2.85
Sb 0.2666 0.6868 0.0000  3 Au 2.69-2.70
Sb 0.2666 0.3132 0.0000  3 Au 2.69-2.70
Sb 0.6044 0.5000 0.7931  2 Au 2.72, 1 Sb 2.85
Sb 0.7334 0.1868 0.5000  3 Au 2.69-2.70
Sb 0.7334 0.8132 0.5000  3 Au 2.69-2.70
Sb 0.3956 0.0000 0.7069  2 Au 2.72, 1 Sb 2.85
K 0.1625 0.5000 0.5000  6 Au 3.55-3.58, 2 Sb 3.81
K 0.8375 0.0000 0.0000  6 Au 3.55-3.58, 2 Sb 3.81



(10)
DFT (PBE) results for an optimized crystal structure of Bi2PtS.

Results
For the formation energy (no corrections), the calculation gives -0.9 eV per formula unit. The calculation puts the magnetization at 0.00 μB/cell. The space group is R-3m. The density of states at the Fermi level comes out at 0.46 states/eV per atom.

a b c (Å): 3.9309 3.9309 7.6594
angles (deg): 75.13 75.13 60.00
Last column: nearest neighbours and their distance in Å.
Positions (direct):
S 0.5000 0.5000 0.5000  6 Bi 2.99
Bi 0.7447 0.7447 0.7660  3 Pt 2.84, 3 S 2.99
Bi 0.2553 0.2553 0.2340  3 Pt 2.84, 3 S 2.99
Pt 0.0000 0.0000 0.0000  6 Bi 2.84



What did the third record say?
DFT (PBE) results for an optimized crystal structure of BiRhSeBr2.

Results
The energy relative to the lowest polymorph listed for this composition is 0.00 kJ per mole of atoms. For the formation energy (no corrections), the calculation gives 0.3 eV per formula unit. The calculation puts the magnetization at 0.00 μB/cell. The space group is P4/mmm. The density of states at the Fermi level comes out at 0.73 states/eV per atom.

a b c (Å): 4.9879 4.9879 5.0519
angles (deg): 90.00 90.00 90.00
Last column: nearest neighbours and their distance in Å.
Positions (direct):
Br 0.0000 0.5000 0.0000  2 Rh 2.49
Br 0.5000 0.0000 0.0000  2 Rh 2.49
Bi 0.5000 0.5000 0.5000  4 Se 3.53, 8 Br 3.55
Rh 0.0000 0.0000 0.0000  4 Br 2.49, 2 Se 2.53
Se 0.0000 0.0000 0.5000  2 Rh 2.53



magnetization of number 10 (Bi2PtS)?
0.00 μB/cell